{"formula": "HoInNi4", "functional": "PBEsol", "state": "relaxed", "lattice": [[-4.491, 1.929, -0.192], [-2.910, -0.953, -3.815], [-3.921, -2.869, 0.571]], "species": ["Ni", "Ni", "Ni", "Ni", "Ho", "In"], "frac_coords": [[0.374, 0.374, 0.877], [0.374, 0.877, 0.374], [0.877, 0.374, 0.374], [0.374, 0.374, 0.374], [0.750, 0.750, 0.750], [0.000, 0.000, 0.000]], "delta_e_f_kj_per_mol_atoms": -41.4}


{"formula": "Li2CoRh", "functional": "PBEsol", "state": "relaxed", "lattice": [[4.064, -0.020, -0.028], [-2.015, 3.529, 0.028], [-2.015, -1.176, 3.327]], "species": ["Co", "Rh", "Li", "Li"], "frac_coords": [[0.500, 0.750, 0.250], [0.000, 0.500, 0.500], [0.000, 0.000, 0.000], [0.500, 0.250, 0.750]], "delta_e_f_kj_per_mol_atoms": 5.8, "e_above_lowest_polymorph_mev_per_atom": 40}